La3ScTl4S8: optimized geometry, PBE.

raw total energy	-5.438	eV per atom
formation energy without anion corrections	-2259	kJ/mol of formula units
N(E_F)	0.00	states/eV per cell
space-group type	R-3m

Cell: 8.3393 8.8756 8.3391 Å, 118.04 120.00 90.00°
Last column: nearest neighbours and their distance in Å.
Fractional positions:
S  0.2640  0.2919  0.5279  3 La 2.86
Tl  0.0000  0.0000  0.0000  6 S 3.24
S  0.7785  0.3023  0.5570  1 Sc 2.69, 2 La 2.89
Tl  0.5000  0.0000  0.0000  6 S 3.42
La  0.5000  0.5000  0.0000  6 S 2.86-2.89
La  0.5000  0.5000  0.5000  6 S 2.86-2.89
S  0.2214  0.6975  0.9763  1 Sc 2.69, 2 La 2.89
Tl  0.0000  0.0000  0.5000  6 S 3.24-3.25
S  0.2451  0.3025  0.0237  1 Sc 2.69, 2 La 2.89
Sc  0.0000  0.5000  0.0000  6 S 2.69
S  0.7360  0.7081  0.4721  3 La 2.86
S  0.2215  0.6977  0.4430  1 Sc 2.69, 2 La 2.89
Tl  0.5000  0.0000  0.5000  6 S 3.24-3.25
S  0.7549  0.6975  0.9763  1 Sc 2.69, 2 La 2.89
La  0.0000  0.5000  0.5000  6 S 2.86-2.89
S  0.7786  0.3025  0.0237  1 Sc 2.69, 2 La 2.89